1.
# La9TbDy2 PBE optimized geometry
# - E (eV/atom) = -4.841
# - energy of formation from the pure elements (meV/atom) = 7
# - mass density (g cm⁻³) = 6.8
data_La9TbDy2
_space_group_name_H-M_alt 'P 4/m m m'
_space_group_IT_number 123
_space_group_name_Hall '-P 4 2'
_cell_length_a 5.205
_cell_length_b 5.205
_cell_length_c 15.617
_cell_angle_alpha 90.00
_cell_angle_beta 90.00
_cell_angle_gamma 90.00
loop_
_atom_site_label
_atom_site_type_symbol
_atom_site_fract_x
_atom_site_fract_y
_atom_site_fract_z
La1 La 0.000 0.000 0.000
La2 La 0.000 0.000 0.333
La3 La 0.000 0.500 0.167
La4 La 0.000 0.500 0.500
Tb1 Tb 0.500 0.500 0.000
Dy1 Dy 0.500 0.500 0.334

2.
# BeHg PBE optimized geometry
# - E (eV/atom) = -1.487
# - energy of formation from the pure elements (meV/atom) = 527
# - mass density (g cm⁻³) = 9.8
data_BeHg
_space_group_name_H-M_alt 'F d d d'
_space_group_IT_number 70
_cell_length_a 3.270
_cell_length_b 12.613
_cell_length_c 13.819
_cell_angle_alpha 90.00
_cell_angle_beta 90.00
_cell_angle_gamma 90.00
loop_
_space_group_symop_operation_xyz
'x,y,z'
'-x,-y,-z'
'-x+1/4,-y+1/4,z'
'x+1/4,y+1/4,-z'
'x,-y+1/4,-z+1/4'
'-x,y+1/4,z+1/4'
'-x+1/4,y,-z+1/4'
'x+1/4,-y,z+1/4'
'x,y+1/2,z+1/2'
'-x,-y+1/2,-z+1/2'
'-x+1/4,-y+3/4,z+1/2'
'x+1/4,y+3/4,-z+1/2'
'x,-y+3/4,-z+3/4'
'-x,y+3/4,z+3/4'
'-x+1/4,y+1/2,-z+3/4'
'x+1/4,-y+1/2,z+3/4'
'x+1/2,y,z+1/2'
'-x+1/2,-y,-z+1/2'
'-x+3/4,-y+1/4,z+1/2'
'x+3/4,y+1/4,-z+1/2'
'x+1/2,-y+1/4,-z+3/4'
'-x+1/2,y+1/4,z+3/4'
'-x+3/4,y,-z+3/4'
'x+3/4,-y,z+3/4'
'x+1/2,y+1/2,z'
'-x+1/2,-y+1/2,-z'
'-x+3/4,-y+3/4,z'
'x+3/4,y+3/4,-z'
'x+1/2,-y+3/4,-z+1/4'
'-x+1/2,y+3/4,z+1/4'
'-x+3/4,y+1/2,-z+1/4'
'x+3/4,-y+1/2,z+1/4'
loop_
_atom_site_label
_atom_site_type_symbol
_atom_site_fract_x
_atom_site_fract_y
_atom_site_fract_z
Be1 Be 0.125 0.037 0.125
Hg1 Hg 0.125 0.125 0.281

3.
# ZnAsRu PBE optimized geometry
# - E (eV/atom) = -4.867
# - energy of formation from the pure elements (meV/atom) = 199
# - mass density (g cm⁻³) = 8.0
data_ZnAsRu
_space_group_name_H-M_alt 'F -4 3 m'
_space_group_IT_number 216
_space_group_name_Hall 'F -4 2 3'
_cell_length_a 5.841
_cell_length_b 5.841
_cell_length_c 5.841
_cell_angle_alpha 90.00
_cell_angle_beta 90.00
_cell_angle_gamma 90.00
loop_
_atom_site_label
_atom_site_type_symbol
_atom_site_fract_x
_atom_site_fract_y
_atom_site_fract_z
Zn1 Zn 0.000 0.000 0.000
As1 As 0.250 0.250 0.250
Ru1 Ru 0.000 0.000 0.500

4.
# TcHgPb2 PBE optimized geometry
# - E (eV/atom) = -3.790
# - energy of formation from the pure elements (meV/atom) = 731
# - mass density (g cm⁻³) = 12.5
data_TcHgPb2
_space_group_name_H-M_alt 'P m m m'
_space_group_IT_number 47
_cell_length_a 3.515
_cell_length_b 4.932
_cell_length_c 5.475
_cell_angle_alpha 90.00
_cell_angle_beta 90.00
_cell_angle_gamma 90.00
loop_
_space_group_symop_operation_xyz
'x,y,z'
'-x,-y,-z'
'-x,-y,z'
'x,y,-z'
'x,-y,-z'
'-x,y,z'
'-x,y,-z'
'x,-y,z'
loop_
_atom_site_label
_atom_site_type_symbol
_atom_site_fract_x
_atom_site_fract_y
_atom_site_fract_z
Tc1 Tc 0.000 0.000 0.000
Hg1 Hg 0.500 0.000 0.500
Pb1 Pb 0.000 0.500 0.500
Pb2 Pb 0.500 0.500 0.000

Question: Among the records above, which one has the highest mass density?
Answer: TcHgPb2